Here is CaGd2Mg after structural relaxation from the Alexandria database. Energies are from PBE-GGA.

a = 3.7948 Å, b = 3.7948 Å, c = 9.0529 Å
α = 90.00°, β = 90.00°, γ = 90.00°
Closest atoms and distances in Å follow each position.
Sites, in units of the cell vectors:
Ca (0.5000, 0.5000, 0.5000)  8 Gd 3.79, 4 Ca 3.79
Gd (0.0000, 0.0000, 0.7962)  4 Mg 3.26
Mg (0.5000, 0.5000, 0.0000)  8 Gd 3.26
Gd (0.0000, 0.0000, 0.2038)  4 Mg 3.26

Results
Energy above the most stable polymorph in this dataset, eV per formula unit: 0.00
SG: P4/mmm
Total magnetic moment, μB per atom: 3.782

***

Here is KMnZn2 after structural relaxation from the Alexandria database. Energies are from PBE-GGA.

a = 3.3047 Å, b = 3.3047 Å, c = 7.8158 Å
α = 90.00°, β = 90.00°, γ = 90.00°
Closest atoms and distances in Å follow each position.
Sites, in units of the cell vectors:
Zn (0.0000, 0.0000, 0.9185)  1 Zn 2.63, 4 Mn 2.68
K (0.5000, 0.5000, 0.2500)  4 K 3.30, 8 Zn 3.49
Zn (0.0000, 0.0000, 0.5815)  1 Zn 2.63, 4 Mn 2.68
Mn (0.5000, 0.5000, 0.7500)  8 Zn 2.68

Results
Energy above the most stable polymorph in this dataset, eV per formula unit: 0.00
SG: P4/mmm
Total magnetic moment, μB per atom: 0.882

***

Here is LaPmYTh after structural relaxation from the Alexandria database. Energies are from PBE-GGA.

a = 3.6224 Å, b = 3.6224 Å, c = 10.3720 Å
α = 90.00°, β = 90.00°, γ = 90.00°
Closest atoms and distances in Å follow each position.
Sites, in units of the cell vectors:
La (0.0000, 0.0000, 0.0735)  4 La 3.62, 4 Y 3.73, 4 Pm 3.77
Y (0.5000, 0.5000, 0.3350)  4 Th 3.53, 4 Y 3.62, 4 La 3.73
Th (0.0000, 0.0000, 0.5693)  4 Y 3.53, 4 Pm 3.55, 4 Th 3.62
Pm (0.5000, 0.5000, 0.8069)  4 Th 3.55, 4 Pm 3.62, 4 La 3.77

Results
Energy above the most stable polymorph in this dataset, eV per formula unit: 0.00
SG: P4mm
Total magnetic moment, μB per atom: 0.000

***

| no. | formation enthalpy at 0 K (meV/atom) |
| --- | --- |
| 1 | 17 |
| 2 | 276 |
| 3 | 27 |